P | # CrW3Se, optimized geometry, DFT GGA-PBE
# * SG: Pm-3m
# * total moment: 0.000 μB/f.u.
data_CrW3Se
_chemical_formula_sum 'Cr1 W3 Se1'
_cell_length_a 4.5448
_cell_length_b 4.5448
_cell_length_c 4.5448
_cell_angle_alpha 90.00
_cell_angle_beta 90.00
_cell_angle_gamma 90.00
_space_group_name_H-M_alt 'P 1'
_space_group_IT_number 1
_space_group_name_Hall 'P 1'
loop_
_atom_site_label
_atom_site_type_symbol
_atom_site_fract_x
_atom_site_fract_y
_atom_site_fract_z
Cr1 Cr 0.0000 0.0000 0.0000
W1 W 0.0000 0.0000 0.5000
W2 W 0.0000 0.5000 0.0000
W3 W 0.5000 0.0000 0.0000
Se1 Se 0.5000 0.5000 0.5000

Q | # CrW3Se, optimized geometry, DFT GGA-PBE
# * SG: Pm-3m
# * total moment: 0.000 μB/f.u.
data_CrW3Se
_chemical_formula_sum 'Cr1 W3 Se1'
_cell_length_a 4.5463
_cell_length_b 4.5463
_cell_length_c 4.5463
_cell_angle_alpha 90.00
_cell_angle_beta 90.00
_cell_angle_gamma 90.00
_space_group_name_H-M_alt 'P 1'
_space_group_IT_number 1
_space_group_name_Hall 'P 1'
loop_
_atom_site_label
_atom_site_type_symbol
_atom_site_fract_x
_atom_site_fract_y
_atom_site_fract_z
Cr1 Cr 0.0000 0.0000 0.0000
W1 W 0.0000 0.5000 0.5000
W2 W 0.5000 0.0000 0.5000
W3 W 0.5000 0.5000 0.0000
Se1 Se 0.5000 0.5000 0.5000

Stability, descending: P, Q